Record 1
Cu2H7C8SI4N2 | PBE-GGA | optimized geometry

Computed properties:
ρ ... 3.39 g/cm3
Uncorrected energy ... -5.53 eV per atom

Geometry as CIF:
```
data_Cu2H7C8SI4N2
_symmetry_space_group_name_H-M 'P 1'
_symmetry_Int_Tables_number 1
_cell_length_a 5.8789
_cell_length_b 11.8271
_cell_length_c 12.1972
_cell_angle_alpha 110.76
_cell_angle_beta 97.54
_cell_angle_gamma 93.39
loop_
_symmetry_equiv_pos_as_xyz
'x,y,z'
loop_
_atom_site_label
_atom_site_type_symbol
_atom_site_fract_x
_atom_site_fract_y
_atom_site_fract_z
Cu1 Cu 0.0165 0.1441 0.0716
Cu2 Cu 0.4521 0.8547 0.9276
Cu3 Cu 0.5479 0.1453 0.0724
Cu4 Cu 0.9835 0.8559 0.9284
H1 H 0.0078 0.2466 0.8231
H2 H 0.1136 0.1888 0.4618
H3 H 0.2496 0.5614 0.2963
H4 H 0.2715 0.5564 0.1488
H5 H 0.3718 0.3863 0.8938
H6 H 0.4144 0.4539 0.2068
H7 H 0.4749 0.3344 0.5488
H8 H 0.5251 0.6656 0.4512
H9 H 0.5856 0.5461 0.7932
H10 H 0.6282 0.6137 0.1062
H11 H 0.7285 0.4436 0.8512
H12 H 0.7504 0.4386 0.7037
H13 H 0.8864 0.8112 0.5382
H14 H 0.9922 0.7534 0.1769
C1 C 0.0296 0.2044 0.6348
C2 C 0.1049 0.2612 0.7579
C3 C 0.1650 0.2307 0.5578
C4 C 0.1809 0.8778 0.4147
C5 C 0.3051 0.3408 0.7996
C6 C 0.3619 0.5461 0.2288
C7 C 0.3636 0.3108 0.6043
C8 C 0.4620 0.9922 0.5497
C9 C 0.5380 0.0078 0.4503
C10 C 0.6364 0.6892 0.3957
C11 C 0.6381 0.4539 0.7712
C12 C 0.6949 0.6592 0.2004
C13 C 0.8191 0.1222 0.5853
C14 C 0.8350 0.7693 0.4422
C15 C 0.8951 0.7388 0.2421
C16 C 0.9704 0.7956 0.3652
S1 S 0.3425 0.9271 0.3244
S2 S 0.6575 0.0729 0.6756
I1 I 0.1943 0.5837 0.5745
I2 I 0.2051 0.6834 0.9631
I3 I 0.2195 0.0293 0.8832
I4 I 0.3486 0.2264 0.2594
I5 I 0.6514 0.7736 0.7406
I6 I 0.7805 0.9707 0.1168
I7 I 0.7949 0.3166 0.0369
I8 I 0.8057 0.4163 0.4255
N1 N 0.2641 0.9207 0.5304
N2 N 0.4322 0.3646 0.7236
N3 N 0.5678 0.6354 0.2764
N4 N 0.7359 0.0793 0.4696
```

---

Record 2
HoW | PBE-GGA | optimized geometry

Computed properties:
ρ ... 13.97 g/cm3
Uncorrected energy ... -7.97 eV per atom
Formation energy ... 1.60 eV/f.u.
Spin magnetization ... 0.004 μB per cell

Geometry as CIF:
```
data_HoW
_symmetry_space_group_name_H-M 'P 1'
_symmetry_Int_Tables_number 1
_cell_length_a 3.0242
_cell_length_b 3.0242
_cell_length_c 5.2338
_cell_angle_alpha 90.00
_cell_angle_beta 90.00
_cell_angle_gamma 120.00
loop_
_symmetry_equiv_pos_as_xyz
'x,y,z'
loop_
_atom_site_label
_atom_site_type_symbol
_atom_site_fract_x
_atom_site_fract_y
_atom_site_fract_z
Ho1 Ho 0.0000 0.0000 0.0000
W1 W 0.6667 0.3333 0.5000
```

---

Record 3
BaUSb | PBE-GGA | optimized geometry

Computed properties:
ρ ... 7.00 g/cm3
Uncorrected energy ... -5.50 eV per atom
Spin magnetization ... 4.972 μB per cell

Geometry as CIF:
```
data_BaUSb
_symmetry_space_group_name_H-M 'P 1'
_symmetry_Int_Tables_number 1
_cell_length_a 5.5033
_cell_length_b 5.5033
_cell_length_c 5.5033
_cell_angle_alpha 60.00
_cell_angle_beta 60.00
_cell_angle_gamma 60.00
loop_
_symmetry_equiv_pos_as_xyz
'x,y,z'
loop_
_atom_site_label
_atom_site_type_symbol
_atom_site_fract_x
_atom_site_fract_y
_atom_site_fract_z
Ba1 Ba 0.0000 0.0000 0.0000
U1 U 0.5000 0.5000 0.5000
Sb1 Sb 0.2500 0.2500 0.2500
```